The following is a DFT calculation (GGA-PBE) of La2MgSb4Pd3 after structural relaxation.

Properties
ΔE_f (raw): -831 meV/atom
DFT total energy: -5.1823 eV/atom
Total magnetization: 0.00 μB per atom

Cell: 4.547 4.547 11.590 Å, 90.00 90.00 90.00°
Space group P-4m2 (No. 115)
Symmetry-distinct sites (fractional):
La (0.000, 0.500, 0.246) (multiplicity 2)
Mg (0.000, 0.000, 0.500) (multiplicity 1)
Sb (0.000, 0.000, 0.000) (multiplicity 1)
Sb (0.000, 0.500, 0.643) (multiplicity 2)
Sb (0.500, 0.500, 0.000) (multiplicity 1)
Pd (0.000, 0.500, 0.869) (multiplicity 2)
Pd (0.500, 0.500, 0.500) (multiplicity 1)